No. 1
DFT (GGA-PBE) results for an optimized crystal structure of Ag2SF.

The structure belongs to space group R3m (No. 160, hexagonal axes); the cell edges are 3.5810, 3.5810 and 18.9105 Å and the angles 90.00°, 90.00° and 120.00°. The inequivalent atoms are Ag at (0.0000, 0.0000, 0.0000), Ag at (0.0000, 0.0000, 0.1676), S at (0.0000, 0.0000, 0.4152) and F at (0.0000, 0.0000, 0.5878).

As for the total moment: 0.000 Bohr magnetons per cell.

=====

No. 2
DFT (GGA-PBE) results for an optimized crystal structure of Ce2ThSi.

The structure belongs to space group R-3m (No. 166, hexagonal axes); the cell edges are 3.2802, 3.2802 and 33.5933 Å and the angles 90.00°, 90.00° and 120.00°. The inequivalent atoms are Ce at (0.0000, 0.0000, 0.0978), Th at (0.0000, 0.0000, 0.0000) and Si at (0.0000, 0.0000, 0.5000).

As for the total moment: 0.001 Bohr magnetons per cell.

=====

no.,formation energy from raw total energies (eV per atom),raw total energy (eV/cell),ΔE to the lowest computed polymorph (kJ/mol of formula units)
1,-0.40,-39.9,42
2,0.10,-72.9,178